A geometry-optimized Ac3Al9Pd2 structure, computed with PBE.

Unit cell a=4.565 b=8.619 c=8.619 alpha=72.61 beta=74.65 gamma=74.65
Fractional coordinates of all 14 atoms:
Ac  0.000  0.000  0.000
Ac  0.692  0.308  0.308
Ac  0.308  0.692  0.692
Al  0.873  0.407  0.847
Al  0.339  0.301  0.021
Al  0.127  0.153  0.593
Al  0.661  0.979  0.699
Al  0.339  0.021  0.301
Al  0.661  0.699  0.979
Al  0.127  0.593  0.153
Al  0.000  0.500  0.500
Al  0.873  0.847  0.407
Pd  0.500  0.712  0.288
Pd  0.500  0.288  0.712

Output
The calculation puts the energy of formation at -0.513 eV/atom.



A geometry-optimized SrGeOs2Pt structure, computed with PBE.

Unit cell a=4.938 b=5.181 c=4.938 alpha=90.00 beta=90.00 gamma=90.00
Last column: magnetic moment on the atom in μB.
Fractional coordinates of all 5 atoms:
Os  0.000  0.000  0.500  1.21
Os  0.500  0.000  0.000  1.26
Sr  0.000  0.000  0.000  -0.02
Pt  0.000  0.500  0.000  0.18
Ge  0.500  0.500  0.500  -0.07

Output
The calculation puts the energy of formation at 2.959 eV/atom.



A geometry-optimized LiAcPrS3 structure, computed with PBE.

Unit cell a=4.041 b=8.587 c=8.767 alpha=102.45 beta=90.00 gamma=90.00
Fractional coordinates of all 12 atoms:
Li  0.750  0.913  0.412
Li  0.250  0.087  0.588
S  0.750  0.423  0.175
S  0.750  0.900  0.135
S  0.250  0.577  0.825
S  0.250  0.100  0.865
S  0.250  0.802  0.500
S  0.750  0.198  0.500
Pr  0.750  0.341  0.835
Pr  0.250  0.659  0.165
Ac  0.750  0.820  0.778
Ac  0.250  0.180  0.222

Output
As for the formation energy without anion corrections: -1.862 eV/atom.



A geometry-optimized NpAlRu2 structure, computed with PBE.

Unit cell a=3.463 b=4.348 c=4.348 alpha=90.00 beta=90.00 gamma=90.00
Last column: magnetic moment on the atom in μB.
Fractional coordinates of all 4 atoms:
Ru  0.000  0.500  0.000  -0.30
Ru  0.000  0.000  0.500  -0.30
Al  0.500  0.000  0.000  0.00
Np  0.500  0.500  0.500  2.83

Output
The calculation puts the energy of formation at -0.341 eV/atom.



A geometry-optimized Hg5Te4Se structure, computed with PBE.

Unit cell a=4.651 b=4.651 c=19.153 alpha=83.03 beta=83.03 gamma=60.00
Fractional coordinates of all 10 atoms:
Hg  0.997  0.997  0.008
Hg  0.398  0.398  0.805
Hg  0.201  0.201  0.396
Hg  0.800  0.800  0.600
Hg  0.603  0.603  0.192
Te  0.552  0.552  0.344
Te  0.749  0.749  0.752
Te  0.151  0.151  0.548
Te  0.348  0.348  0.956
Se  0.950  0.950  0.151

Output
As for the formation energy without anion corrections: -0.170 eV/atom.



A geometry-optimized CsK2Rb4Au structure, computed with PBE.

Unit cell a=4.925 b=10.732 c=12.447 alpha=83.74 beta=90.00 gamma=90.00
Fractional coordinates of all 8 atoms:
K  0.500  0.000  0.500
K  0.000  0.000  0.000
Rb  0.000  0.336  0.156
Rb  0.000  0.664  0.844
Rb  0.500  0.285  0.807
Rb  0.500  0.715  0.193
Cs  0.000  0.500  0.500
Au  0.500  0.500  0.000

Output
The calculation puts the energy of formation at -0.009 eV/atom.



A geometry-optimized Tm2PuTl structure, computed with PBE.

Unit cell a=3.497 b=3.497 c=10.923 alpha=80.79 beta=80.79 gamma=60.01
Last column: magnetic moment on the atom in μB.
Fractional coordinates of all 4 atoms:
Pu  0.500  0.500  0.501  5.59
Tm  0.253  0.253  0.241  0.14
Tm  0.081  0.081  0.759  0.23
Tl  0.667  0.667  0.000  0.01

Output
The calculation puts the energy of formation at -0.029 eV/atom. The energy relative to the lowest polymorph listed for this composition comes out at 0.047 eV per atom.



A geometry-optimized Cu2GeBrN structure, computed with PBE.

Unit cell a=4.509 b=5.663 c=4.509 alpha=90.00 beta=90.00 gamma=90.00
Last column: magnetic moment on the atom in μB.
Fractional coordinates of all 5 atoms:
Br  0.000  0.000  0.000  -0.03
N  0.500  0.500  0.500  0.94
Cu  0.500  0.000  0.000  -0.01
Cu  0.000  0.000  0.500  -0.03
Ge  0.000  0.500  0.000  -0.21

Output
As for the formation energy without anion corrections: 1.809 eV/atom.



A geometry-optimized Sc3CoBr3 structure, computed with PBE.

Unit cell a=3.780 b=8.053 c=11.208 alpha=92.57 beta=90.00 gamma=90.00
Fractional coordinates of all 14 atoms:
Br  0.250  0.337  0.852
Br  0.750  0.136  0.112
Br  0.250  0.864  0.888
Br  0.750  0.578  0.629
Br  0.750  0.663  0.148
Br  0.250  0.422  0.371
Sc  0.250  0.856  0.633
Sc  0.750  0.094  0.812
Sc  0.250  0.906  0.188
Sc  0.750  0.144  0.367
Sc  0.250  0.255  0.599
Sc  0.750  0.745  0.401
Co  0.250  0.951  0.411
Co  0.750  0.049  0.589

Output
As for the formation energy without anion corrections: -1.141 eV/atom.



A geometry-optimized KLaPtPb2 structure, computed with PBE.

Unit cell a=5.748 b=5.368 c=5.748 alpha=90.00 beta=90.00 gamma=90.00
Fractional coordinates of all 5 atoms:
K  0.500  0.500  0.500
Pb  0.000  0.000  0.500
Pb  0.500  0.000  0.000
La  0.000  0.500  0.000
Pt  0.000  0.000  0.000

Output
The calculation puts the energy of formation at -0.197 eV/atom.



A geometry-optimized Li2Ce2NdSn2 structure, computed with PBE.

Unit cell a=4.645 b=4.645 c=9.656 alpha=76.08 beta=76.08 gamma=60.00
Last column: magnetic moment on the atom in μB.
Fractional coordinates of all 7 atoms:
Li  0.413  0.413  0.761  0.00
Li  0.587  0.587  0.239  0.00
Nd  0.000  0.000  0.000  0.05
Ce  0.144  0.144  0.568  0.90
Ce  0.856  0.856  0.432  0.90
Sn  0.264  0.264  0.209  -0.02
Sn  0.736  0.736  0.791  -0.02

Output
The calculation puts the energy of formation at -0.437 eV/atom.



A geometry-optimized Cr2NiAu structure, computed with PBE.

Unit cell a=2.656 b=3.807 c=5.270 alpha=90.00 beta=90.00 gamma=90.00
Fractional coordinates of all 4 atoms:
Cr  0.000  0.000  0.444
Cr  0.000  0.000  0.056
Au  0.500  0.500  0.750
Ni  0.500  0.500  0.250

Output
The calculation puts the energy of formation at 0.232 eV/atom. The energy relative to the lowest polymorph listed for this composition comes out at 0.092 eV per atom.



no.,VASP energy (eV per atom)
1,-4.5414
2,-4.0006
3,-5.7256
4,-9.1496
5,-1.9258
6,-1.2839
7,-6.4393
8,-2.7527
9,-5.5861
10,-4.0931
11,-4.5044
12,-6.8440